# InNiO2

InNiO2 after structural relaxation (PBE+U, Alexandria).

a = 3.8052 Å, b = 5.8107 Å, c = 5.9055 Å
α = 81.71°, β = 108.31°, γ = 72.26°
Last column: magnetic moment on the atom in μB.
Positions (direct):
1 Ni 0.4911 0.3665 0.4965  1.55
2 Ni 0.3042 0.1771 0.8652  1.00
3 O 0.4352 0.6878 0.6575  0.00
4 O 0.1007 0.6294 0.2019  0.02
5 O 0.5158 0.1297 0.2636  0.04
6 O 0.8262 0.0976 0.8271  -0.01
7 In 0.0261 0.6805 0.8370  0.00
8 In 0.1089 0.9607 0.2916  0.00

Computed properties:
E (Ha/atom): -0.1724
M_tot (μB/cell): 2.5
D(E_F) (states/eV/atom): 0.114